An optimized crystal structure of Li2CoH6Pt, computed with PBE-GGA.

Output
Spin magnetization, μB per formula unit: 0.00
E_tot, eV/cell: -158.43

Unit cell a=6.676 b=6.676 c=6.676 alpha=90.00 beta=90.00 gamma=90.00
Space group Fm-3m (No. 225)
Symmetry-distinct sites (fractional):
Li (0.250, 0.250, 0.250) (multiplicity 8)
Co (0.000, 0.000, 0.000) (multiplicity 4)
H (0.000, 0.000, 0.240) (multiplicity 24)
Pt (0.000, 0.000, 0.500) (multiplicity 4)